# 1
# KNpMnSe4

An optimized crystal structure of KNpMnSe4 (GGA-PBE, the Alexandria database).

```
14
Lattice="6.740 0.000 0.000 0.000 6.570 0.000 -2.945 0.000 8.751" Properties=species:S:1:pos:R:3 pbc="T T T"
K 0.345 1.643 3.877
K 3.450 4.928 4.875
Np -0.990 1.643 8.285
Np 4.786 4.928 0.466
Mn 1.333 4.928 1.490
Mn 2.462 1.643 7.261
Se -2.290 4.928 8.000
Se -0.541 4.928 2.922
Se 0.886 3.370 6.903
Se 0.886 6.486 6.903
Se 2.909 0.085 1.848
Se 2.909 3.201 1.848
Se 4.336 1.643 5.829
Se 6.085 1.643 0.752
```

Calculated values
E ... -0.457 Ry per atom
E_form (uncorrected) ... -0.917 eV/atom
V ... 27.68 A^3/atom

# 2
# La2Tb6Pm3Pr

An optimized crystal structure of La2Tb6Pm3Pr (GGA-PBE, the Alexandria database).

```
12
Lattice="3.151 -5.460 0.000 3.151 5.460 0.000 -2.097 0.000 11.745" Properties=species:S:1:pos:R:3 pbc="T T T"
La 3.151 3.641 0.000
La 3.151 -3.641 0.000
Tb 0.002 1.818 8.780
Tb 1.056 0.000 2.964
Tb 0.002 -1.818 8.780
Tb 4.203 1.818 2.965
Tb 3.150 0.000 8.781
Tb 4.203 -1.818 2.965
Pm -1.049 0.000 5.872
Pm 2.103 1.818 5.872
Pm 2.103 -1.818 5.872
Pr 3.151 0.000 0.000
```

Calculated values
E ... -0.346 Ry per atom
Energy of formation ... 13 meV/atom
V ... 33.68 A^3/atom

# 3
# Nd6NiP2Cl3

An optimized crystal structure of Nd6NiP2Cl3 (GGA-PBE, the Alexandria database).

```
12
Lattice="9.237 -2.012 0.000 9.237 2.012 0.000 -2.192 0.000 8.350" Properties=species:S:1:pos:R:3 pbc="T T T"
Nd -0.378 0.000 1.821
Nd 5.057 0.000 3.651
Nd 4.284 0.000 7.506
Nd 11.998 0.000 0.844
Nd 11.225 0.000 4.698
Nd 16.660 0.000 6.528
Ni 9.237 0.000 0.000
P 2.352 0.000 2.777
P 13.930 0.000 5.573
Cl 1.258 0.000 6.906
Cl 8.141 0.000 4.175
Cl 15.024 0.000 1.444
```

Calculated values
E ... -0.410 Ry per atom
E_form (uncorrected) ... -1.356 eV/atom
V ... 25.87 A^3/atom